1.
HfAsCl2 PBE relaxed; formation energy without anion corrections = -95.0 meV/atom; total magnetic moment = 0.000 μB per formula unit
1.0
-3.442 2.454 2.029
-1.203 4.200 -1.702
-4.102 0.549 -2.204
Hf Cl As
1 2 1
Direct
0.500 0.500 0.500
0.250 0.250 0.250
0.750 0.750 0.750
0.000 0.000 0.000



2.
Cd5Hg6Pb3 PBE relaxed; total magnetic moment = 0.000 μB per formula unit; formation energy = 47 meV/atom
1.0
3.254 0.000 0.000
0.000 13.780 0.000
0.000 0.000 16.690
Hg Cd Pb
12 10 6
Direct
0.000 0.961 0.838
0.500 0.039 0.662
0.500 0.362 0.848
0.500 0.031 0.000
0.500 0.362 0.152
0.500 0.039 0.338
0.500 0.565 0.000
0.000 0.435 0.500
0.000 0.969 0.500
0.000 0.638 0.348
0.000 0.638 0.652
0.000 0.961 0.162
0.500 0.151 0.171
0.000 0.849 0.671
0.500 0.456 0.666
0.500 0.184 0.500
0.000 0.849 0.329
0.500 0.151 0.829
0.500 0.456 0.334
0.000 0.544 0.166
0.000 0.816 0.000
0.000 0.544 0.834
0.500 0.748 0.837
0.500 0.746 0.500
0.000 0.252 0.663
0.000 0.252 0.337
0.500 0.748 0.163
0.000 0.254 0.000



3.
CuRu PBE relaxed; total magnetic moment = 0.000 μB per formula unit; formation energy = 211 meV/atom
1.0
4.561 0.007 -0.002
-0.777 4.489 0.000
0.000 0.810 2.572
Ru Cu
2 2
Direct
0.641 0.497 0.751
0.443 0.003 0.499
0.942 0.002 0.999
0.142 0.498 0.251



4.
SrZn4Ga4 PBE relaxed; total magnetic moment = 0.000 μB per formula unit; formation energy = -87 meV/atom
1.0
5.394 0.000 0.000
0.000 8.460 0.000
0.000 0.000 8.460
Zn Ga Sr
8 8 2
Direct
0.128 0.836 0.651
0.372 0.664 0.849
0.628 0.151 0.664
0.128 0.164 0.349
0.872 0.651 0.164
0.872 0.349 0.836
0.628 0.849 0.336
0.372 0.336 0.151
0.629 0.854 0.651
0.129 0.849 0.354
0.371 0.349 0.854
0.871 0.646 0.849
0.629 0.146 0.349
0.371 0.651 0.146
0.129 0.151 0.646
0.871 0.354 0.151
0.500 0.500 0.500
0.000 0.000 0.000